1.
DFT (GGA-PBE) results for a relaxed Ba2CuAu crystal.

abc: 4.028 4.013 8.942
angles: 63.29 90.00 90.00
Atoms (fractional coordinates):
Au1 0.500 0.750 0.750
Ba1 0.000 0.998 0.001
Ba2 0.000 0.502 0.499
Cu1 0.500 0.250 0.250

## Properties
E = -12.43 eV/cell
density = 6.88 Mg/m³
distance to the lowest polymorph of the same formula = 0.079 eV/atom
DFT formation energy = -0.30 eV per atom

---

2.
DFT (GGA-PBE) results for a relaxed Ba2Cu3Au crystal.

abc: 6.366 6.366 9.007
angles: 110.48 110.48 90.57
Atoms (fractional coordinates):
Ba1 0.250 0.750 0.500
Ba2 0.749 0.749 0.000
Ba3 0.750 0.250 0.500
Ba4 0.251 0.251 0.000
Cu1 0.678 0.161 0.839
Cu2 0.839 0.322 0.161
Cu3 0.322 0.839 0.161
Cu4 0.161 0.678 0.839
Cu5 0.840 0.840 0.679
Cu6 0.160 0.160 0.321
Au1 0.333 0.333 0.666
Au2 0.667 0.667 0.334

## Properties
E = -41.57 eV/cell
density = 6.95 Mg/m³
DFT formation energy = -0.23 eV per atom

---

3.
DFT (GGA-PBE) results for a relaxed BaCu4Au crystal.

abc: 5.306 5.306 5.306
angles: 60.00 60.00 60.00
Atoms (fractional coordinates):
Ba1 0.000 0.000 0.000
Cu1 0.868 0.377 0.377
Cu2 0.377 0.377 0.868
Cu3 0.377 0.868 0.377
Cu4 0.377 0.377 0.377
Au1 0.750 0.750 0.750

## Properties
E = -21.45 eV/cell
density = 9.25 Mg/m³
DFT formation energy = 0.02 eV per atom

---

4.
DFT (GGA-PBE) results for a relaxed Ba6CuAu crystal.

abc: 7.999 7.999 15.312
angles: 90.00 90.00 120.00
Atoms (fractional coordinates):
Ba1 0.330 0.331 0.375
Ba2 0.670 0.669 0.625
Ba3 0.001 0.670 0.375
Ba4 0.330 0.999 0.125
Ba5 0.999 0.330 0.625
Ba6 0.670 0.001 0.875
Ba7 0.669 0.999 0.375
Ba8 0.001 0.331 0.125
Ba9 0.331 0.001 0.625
Ba10 0.999 0.669 0.875
Ba11 0.669 0.670 0.125
Ba12 0.331 0.330 0.875
Cu1 0.000 0.000 0.500
Cu2 0.000 0.000 0.000
Au1 0.333 0.667 0.250
Au2 0.667 0.333 0.750

## Properties
E = -40.89 eV/cell
density = 4.24 Mg/m³
DFT formation energy = -0.19 eV per atom

---

5.
DFT (GGA-PBE) results for a relaxed Ba3Cu3Au2 crystal.

abc: 4.622 6.363 16.966
angles: 90.00 90.00 111.30
Atoms (fractional coordinates):
Ba1 0.861 0.723 0.412
Ba2 0.139 0.277 0.912
Ba3 0.861 0.723 0.088
Ba4 0.139 0.277 0.588
Ba5 0.575 0.151 0.250
Ba6 0.425 0.849 0.750
Cu1 0.574 0.147 0.448
Cu2 0.426 0.853 0.948
Cu3 0.574 0.147 0.052
Cu4 0.426 0.853 0.552
Cu5 0.276 0.553 0.250
Cu6 0.724 0.447 0.750
Au1 0.849 0.698 0.885
Au2 0.151 0.302 0.385
Au3 0.849 0.698 0.615
Au4 0.151 0.302 0.115

## Properties
E = -54.50 eV/cell
density = 7.12 Mg/m³
DFT formation energy = -0.33 eV per atom

---

6.
DFT (GGA-PBE) results for a relaxed BaCuAu11 crystal.

abc: 5.632 7.383 7.311
angles: 81.56 67.35 67.60
Atoms (fractional coordinates):
Ba1 0.000 0.000 0.000
Cu1 0.500 0.500 0.000
Au1 0.285 0.227 0.218
Au2 0.715 0.773 0.782
Au3 0.497 0.773 0.218
Au4 0.503 0.227 0.782
Au5 0.369 0.642 0.655
Au6 0.631 0.358 0.345
Au7 0.975 0.358 0.655
Au8 0.025 0.642 0.345
Au9 0.000 0.500 0.000
Au10 0.500 0.000 0.500
Au11 0.000 0.000 0.500

## Properties
E = -44.54 eV/cell
density = 15.16 Mg/m³
DFT formation energy = -0.19 eV per atom

---

7.
DFT (GGA-PBE) results for a relaxed Ba2Cu2Au crystal.

abc: 8.090 8.090 4.391
angles: 90.00 90.00 90.00
Atoms (fractional coordinates):
Au1 0.000 0.000 0.000
Au2 0.500 0.500 0.000
Ba1 0.187 0.687 0.500
Ba2 0.687 0.813 0.500
Ba3 0.813 0.313 0.500
Ba4 0.313 0.187 0.500
Cu1 0.393 0.893 0.000
Cu2 0.893 0.607 0.000
Cu3 0.607 0.107 0.000
Cu4 0.107 0.393 0.000

## Properties
E = -32.27 eV/cell
density = 6.92 Mg/m³
distance to the lowest polymorph of the same formula = 0.000 eV/atom
DFT formation energy = -0.16 eV per atom

---

8.
DFT (GGA-PBE) results for a relaxed Ba2Cu2Au crystal.

abc: 6.169 6.169 5.822
angles: 58.01 58.01 90.00
Atoms (fractional coordinates):
Au1 0.000 0.000 0.000
Ba1 0.750 0.250 0.500
Ba2 0.250 0.750 0.500
Cu1 0.346 0.346 0.309
Cu2 0.654 0.654 0.691

## Properties
E = -16.00 eV/cell
density = 6.77 Mg/m³
distance to the lowest polymorph of the same formula = 0.026 eV/atom
DFT formation energy = -0.14 eV per atom

---

9.
DFT (GGA-PBE) results for a relaxed Ba2CuAu crystal.

abc: 8.577 8.577 8.577
angles: 149.20 150.08 43.48
Atoms (fractional coordinates):
Au1 0.666 0.166 0.500
Ba1 0.006 0.006 0.000
Ba2 0.244 0.744 0.500
Cu1 0.584 0.584 0.000

## Properties
E = -12.42 eV/cell
density = 5.53 Mg/m³
distance to the lowest polymorph of the same formula = 0.083 eV/atom
DFT formation energy = -0.30 eV per atom

---

10.
DFT (GGA-PBE) results for a relaxed Ba3CuAu2 crystal.

abc: 4.654 13.457 13.277
angles: 90.00 90.00 90.00
Atoms (fractional coordinates):
Ba1 0.250 0.373 0.059
Ba2 0.750 0.627 0.941
Ba3 0.750 0.873 0.441
Ba4 0.250 0.127 0.559
Ba5 0.250 0.693 0.212
Ba6 0.750 0.307 0.788
Ba7 0.750 0.193 0.288
Ba8 0.250 0.807 0.712
Ba9 0.250 0.441 0.381
Ba10 0.750 0.559 0.619
Ba11 0.750 0.941 0.119
Ba12 0.250 0.059 0.881
Cu1 0.250 0.127 0.125
Cu2 0.750 0.873 0.875
Cu3 0.750 0.627 0.375
Cu4 0.250 0.373 0.625
Au1 0.250 0.683 0.469
Au2 0.750 0.317 0.531
Au3 0.750 0.183 0.031
Au4 0.250 0.817 0.969
Au5 0.250 0.012 0.303
Au6 0.750 0.988 0.697
Au7 0.750 0.512 0.197
Au8 0.250 0.488 0.803

## Properties
E = -77.53 eV/cell
density = 6.94 Mg/m³
DFT formation energy = -0.49 eV per atom

---

11.
DFT (GGA-PBE) results for a relaxed BaCu2Au2 crystal.

abc: 7.821 7.821 3.291
angles: 90.00 90.00 90.00
Atoms (fractional coordinates):
Au1 0.169 0.669 0.500
Au2 0.669 0.831 0.500
Au3 0.831 0.331 0.500
Au4 0.331 0.169 0.500
Ba1 0.000 0.000 0.000
Ba2 0.500 0.500 0.000
Cu1 0.386 0.886 0.000
Cu2 0.886 0.614 0.000
Cu3 0.614 0.114 0.000
Cu4 0.114 0.386 0.000

## Properties
E = -34.36 eV/cell
density = 10.86 Mg/m³
distance to the lowest polymorph of the same formula = 0.182 eV/atom
DFT formation energy = -0.10 eV per atom

---

12.
DFT (GGA-PBE) results for a relaxed BaEuCuAu crystal.

abc: 5.476 5.476 5.476
angles: 60.00 60.00 60.00
Last column: magnetic moment on the atom in μB.
Atoms (fractional coordinates):
Eu1 0.500 0.500 0.500  6.92
Au1 0.750 0.750 0.750  0.02
Ba1 0.000 0.000 0.000  0.06
Cu1 0.250 0.250 0.250  0.00

## Properties
E = -20.86 eV/cell
density = 7.86 Mg/m³
DFT formation energy = -0.32 eV per atom

---

13.
DFT (GGA-PBE) results for a relaxed BaCuAuF6 crystal.

abc: 5.911 6.741 4.770
angles: 96.87 93.97 54.73
Last column: magnetic moment on the atom in μB.
Atoms (fractional coordinates):
Ba1 0.005 0.979 0.890  0.00
Cu1 0.660 0.654 0.506  0.71
Au1 0.332 0.316 0.478  0.59
F1 0.949 0.352 0.272  0.12
F2 0.453 0.938 0.766  0.10
F3 0.583 0.406 0.736  0.14
F4 0.982 0.598 0.718  0.13
F5 0.326 0.742 0.318  0.08
F6 0.710 0.015 0.317  0.08

## Properties
E = -38.86 eV/cell
density = 5.52 Mg/m³

---

14.
DFT (GGA-PBE) results for a relaxed Ba2Ga4CuAu3 crystal.

abc: 4.660 4.660 10.640
angles: 90.00 90.00 90.00
Atoms (fractional coordinates):
Ba1 0.500 0.000 0.251
Ba2 0.000 0.500 0.749
Ga1 0.500 0.500 0.000
Ga2 0.000 0.000 0.000
Ga3 0.500 0.000 0.615
Ga4 0.000 0.500 0.385
Cu1 0.500 0.500 0.500
Au1 0.000 0.000 0.500
Au2 0.500 0.000 0.870
Au3 0.000 0.500 0.130

## Properties
E = -34.85 eV/cell
density = 8.68 Mg/m³
DFT formation energy = -0.50 eV per atom

---

15.
DFT (GGA-PBE) results for a relaxed Ba2CuGeAu6 crystal.

abc: 7.286 6.869 7.295
angles: 61.17 56.90 89.65
Atoms (fractional coordinates):
Ba1 0.720 0.278 0.439
Ba2 0.280 0.722 0.561
Cu1 0.000 0.000 0.000
Ge1 0.500 0.500 0.000
Au1 0.177 0.250 0.506
Au2 0.752 0.823 0.932
Au3 0.245 0.750 0.080
Au4 0.755 0.250 0.920
Au5 0.248 0.177 0.068
Au6 0.823 0.750 0.494

## Properties
E = -36.61 eV/cell
density = 10.54 Mg/m³
DFT formation energy = -0.44 eV per atom

---

16.
DFT (GGA-PBE) results for a relaxed Ba2CuGe4Au3 crystal.

abc: 4.602 4.602 10.839
angles: 90.00 90.00 90.00
Atoms (fractional coordinates):
Ba1 0.500 0.000 0.255
Ba2 0.000 0.500 0.745
Cu1 0.500 0.500 0.500
Ge1 0.500 0.500 0.000
Ge2 0.000 0.000 0.000
Ge3 0.500 0.000 0.620
Ge4 0.000 0.500 0.380
Au1 0.000 0.000 0.500
Au2 0.500 0.000 0.870
Au3 0.000 0.500 0.130

## Properties
E = -40.68 eV/cell
density = 8.82 Mg/m³
DFT formation energy = -0.44 eV per atom

---

17.
DFT (GGA-PBE) results for a relaxed Ba2CuGe3Au4 crystal.

abc: 4.711 4.711 10.424
angles: 90.00 90.00 90.00
Atoms (fractional coordinates):
Ba1 0.500 0.000 0.255
Ba2 0.000 0.500 0.745
Cu1 0.500 0.500 0.500
Ge1 0.000 0.000 0.500
Ge2 0.500 0.000 0.874
Ge3 0.000 0.500 0.126
Au1 0.500 0.500 0.000
Au2 0.000 0.000 0.000
Au3 0.500 0.000 0.618
Au4 0.000 0.500 0.382

## Properties
E = -39.53 eV/cell
density = 9.65 Mg/m³
DFT formation energy = -0.46 eV per atom

---

18.
DFT (GGA-PBE) results for a relaxed BaCuGeAu6 crystal.

abc: 9.941 7.444 8.242
angles: 116.85 127.09 90.00
Atoms (fractional coordinates):
Ba1 0.017 0.767 0.033
Ba2 0.983 0.233 0.967
Cu1 0.500 0.500 0.000
Cu2 0.500 0.000 0.000
Ge1 0.500 0.000 0.500
Ge2 0.000 0.000 0.500
Au1 0.311 0.561 0.623
Au2 0.673 0.923 0.346
Au3 0.856 0.173 0.244
Au4 0.388 0.571 0.244
Au5 0.388 0.173 0.244
Au6 0.856 0.571 0.244
Au7 0.689 0.439 0.377
Au8 0.327 0.077 0.654
Au9 0.144 0.827 0.756
Au10 0.612 0.429 0.756
Au11 0.612 0.827 0.756
Au12 0.144 0.429 0.756

## Properties
E = -62.39 eV/cell
density = 12.05 Mg/m³
DFT formation energy = -0.10 eV per atom

---

19.
DFT (GGA-PBE) results for a relaxed BaCuGe2Au8 crystal.

abc: 5.831 5.831 9.409
angles: 69.00 69.00 76.41
Atoms (fractional coordinates):
Ba1 0.000 0.000 0.500
Cu1 0.000 0.000 0.000
Ge1 0.759 0.759 0.304
Ge2 0.241 0.241 0.696
Au1 0.829 0.439 0.831
Au2 0.684 0.684 0.070
Au3 0.577 0.577 0.601
Au4 0.423 0.423 0.399
Au5 0.316 0.316 0.930
Au6 0.439 0.829 0.831
Au7 0.561 0.171 0.169
Au8 0.171 0.561 0.169

## Properties
E = -43.18 eV/cell
density = 11.53 Mg/m³
DFT formation energy = -0.14 eV per atom

---

20.
DFT (GGA-PBE) results for a relaxed BaCuGe2Au crystal.

abc: 4.578 4.578 6.204
angles: 111.65 111.65 90.00
Atoms (fractional coordinates):
Ba1 0.000 0.000 0.000
Cu1 0.250 0.750 0.500
Ge1 0.627 0.627 0.253
Ge2 0.373 0.373 0.747
Au1 0.750 0.250 0.500

## Properties
E = -20.49 eV/cell
density = 8.13 Mg/m³
DFT formation energy = -0.39 eV per atom

---

Looking at Fermi-level density of states for the records above, in order, we have 3.693; 4.377; 3.587; 12.477; 8.669; 3.425; 5.931; 3.702; 2.606; 15.775; 3.167; 8.990; 0.022; 4.376; 3.027; 4.549; 2.453; 6.575; 3.639; 2.412 states/eV per cell.